# 1
CaCo2Br: relaxed, PBE-GGA.

Calculated values
E above lowest polymorph = 521 meV/atom
formation energy without anion corrections = 0.35 eV/atom
total moment = 3.1 μB/cell

abc: 3.8780 3.8780 5.8320
angles: 90.00 90.00 90.00
Positions (direct):
Ca 0.0000 0.0000 0.0000
Co 0.5000 0.5000 0.1832
Co 0.5000 0.5000 0.8168
Br 0.0000 0.0000 0.5000

# 2
AcGaSi2O8: relaxed, PBE-GGA.

Calculated values
formation energy without anion corrections = -2.31 eV/atom
total moment = 2.0 μB/cell

abc: 5.2923 5.2923 6.9812
angles: 90.00 90.00 120.00
Positions (direct):
Ac 0.0000 0.0000 0.0000
Ga 0.0000 0.0000 0.5000
Si 0.3333 0.6667 0.7450
Si 0.6667 0.3333 0.2550
O 0.1614 0.3259 0.6820
O 0.1644 0.8386 0.6820
O 0.3259 0.1644 0.3180
O 0.3333 0.6667 0.9820
O 0.6667 0.3333 0.0180
O 0.6741 0.8356 0.6820
O 0.8356 0.1614 0.3180
O 0.8386 0.6741 0.3180

# 3
NaTcO: relaxed, PBE-GGA.

Calculated values
E above lowest polymorph = 53 meV/atom
formation energy without anion corrections = -0.90 eV/atom
total moment = 0.0 μB/cell

abc: 3.4614 8.0994 8.0994
angles: 20.32 90.00 90.00
Positions (direct):
Na 0.0000 0.0000 0.0000
Na 0.5000 0.3661 0.3661
Tc 0.0000 0.7329 0.7329
Tc 0.5000 0.1473 0.1473
O 0.0000 0.8527 0.8527
O 0.5000 0.5493 0.5493